! RbCa2HfAs, optimized geometry, DFT PBE-GGA; values from VASP
&SYSTEM
  ibrav = 0, nat = 5, ntyp = 4
/
ATOMIC_SPECIES
Hf 178.49 Hf.upf
Ca 40.08 Ca.upf
Rb 85.47 Rb.upf
As 74.92 As.upf
ATOMIC_POSITIONS angstrom
Hf 2.032 0.920 1.395
Ca -1.659 1.828 1.212
Ca -0.545 -1.815 1.992
Rb 0.000 0.000 0.000
As -0.172 0.932 4.598
CELL_PARAMETERS angstrom
-1.091 -3.631 3.983
4.065 1.840 2.790
-3.318 3.655 2.423
! N(E_F) in states/eV/cell: 5.51
! E in eV for the cell shown: -11.6
! Space-group type: P4/mmm (123)



! ZrTi4Sn2, optimized geometry, DFT PBE-GGA; values from VASP
&SYSTEM
  ibrav = 0, nat = 7, ntyp = 3
/
ATOMIC_SPECIES
Ti 47.87 Ti.upf
Sn 118.71 Sn.upf
Zr 91.22 Zr.upf
ATOMIC_POSITIONS angstrom
Ti 0.821 0.328 4.979
Sn -1.114 1.729 2.777
Zr 0.000 0.000 0.000
Sn 3.718 1.287 6.098
Ti 1.326 0.459 2.174
Ti 1.278 2.557 6.700
Ti 1.782 2.688 3.896
CELL_PARAMETERS angstrom
-1.214 3.721 -0.045
-3.135 -0.997 2.122
6.952 0.292 6.798
! N(E_F) in states/eV/cell: 6.78
! E in eV for the cell shown: -47.8
! Space-group type: I4/mmm (139)
! Energy relative to the lowest polymorph listed for this composition in eV per atom: 0.170



! La6Pm2NdTh, optimized geometry, DFT PBE-GGA; values from VASP
&SYSTEM
  ibrav = 0, nat = 10, ntyp = 4
/
ATOMIC_SPECIES
Nd 144.24 Nd.upf
La 138.91 La.upf
Pm 145.00 Pm.upf
Th 232.04 Th.upf
ATOMIC_POSITIONS angstrom
Nd -3.472 3.135 0.383
La -2.580 1.763 3.977
Pm -0.533 1.387 0.474
Th -0.920 -1.390 3.036
La -4.175 5.304 3.043
La 1.099 1.771 3.216
Pm -2.543 5.688 5.785
La 2.064 3.229 0.032
La -5.140 3.846 6.226
La -0.496 5.311 2.282
CELL_PARAMETERS angstrom
-6.945 6.269 0.766
-1.840 -2.780 6.072
5.709 3.586 -0.579
! N(E_F) in states/eV/cell: 18.64
! E in eV for the cell shown: -49.4
! Space-group type: C2/m (12)